--- i ---
Si5P3 after structural relaxation. Source: Alexandria via LeMat-Bulk, functional PBE-GGA.

Cell and atoms, written as CIF:
```
data_Si5P3
_space_group_name_H-M_alt 'P 63/m c m'
_space_group_IT_number 193
_space_group_name_Hall '-P 6c 2'
_cell_length_a 7.8080
_cell_length_b 7.8080
_cell_length_c 4.8149
_cell_angle_alpha 90.00
_cell_angle_beta 90.00
_cell_angle_gamma 120.00
loop_
_atom_site_label
_atom_site_fract_x
_atom_site_fract_y
_atom_site_fract_z
Si1 0.0000 0.2065 0.2500
Si2 0.3333 0.6667 0.0000
P1 0.0000 0.3566 0.7500
```

--- ii ---
Si5P3 after structural relaxation. Source: Alexandria via LeMat-Bulk, functional PBE-GGA.

Cell and atoms, written as CIF:
```
data_Si5P3
_space_group_name_H-M_alt 'P 1'
_space_group_IT_number 1
_cell_length_a 5.6459
_cell_length_b 6.4444
_cell_length_c 8.9442
_cell_angle_alpha 81.73
_cell_angle_beta 74.68
_cell_angle_gamma 65.96
loop_
_space_group_symop_operation_xyz
'x,y,z'
loop_
_atom_site_label
_atom_site_fract_x
_atom_site_fract_y
_atom_site_fract_z
Si1 0.0000 0.0000 0.0000
Si2 0.0192 0.6030 0.7535
Si3 0.1343 0.3241 0.5664
Si4 0.1866 0.3924 0.1321
Si5 0.2806 0.8209 0.4357
Si6 0.4392 0.5688 0.7709
Si7 0.5490 0.4052 0.4368
Si8 0.6951 0.9687 0.8610
Si9 0.8369 0.8538 0.4597
Si10 0.9075 0.3896 0.9760
P1 0.4141 0.0130 0.2051
P2 0.4224 0.9085 0.6312
P3 0.4348 0.6142 0.0208
P4 0.7184 0.1056 0.2575
P5 0.7507 0.2361 0.6606
P6 0.9250 0.5138 0.3676
```

It is i that is the least stable of them.

--- i ---
SiSn2P after structural relaxation. Source: Alexandria via LeMat-Bulk, functional PBE-GGA.

Cell and atoms, written as CIF:
```
data_SiSn2P
_space_group_name_H-M_alt 'I -4 2 d'
_space_group_IT_number 122
_space_group_name_Hall 'I -4 2bw'
_cell_length_a 6.0567
_cell_length_b 6.0567
_cell_length_c 12.4678
_cell_angle_alpha 90.00
_cell_angle_beta 90.00
_cell_angle_gamma 90.00
loop_
_atom_site_label
_atom_site_fract_x
_atom_site_fract_y
_atom_site_fract_z
Si1 0.0000 0.0000 0.0000
Sn1 0.2474 0.2500 0.1250
P1 0.0000 0.0000 0.5000
```

--- ii ---
SiSn2P after structural relaxation. Source: Alexandria via LeMat-Bulk, functional PBE-GGA.

Cell and atoms, written as CIF:
```
data_SiSn2P
_space_group_name_H-M_alt 'F m -3 m'
_space_group_IT_number 225
_space_group_name_Hall '-F 4 2 3'
_cell_length_a 6.9657
_cell_length_b 6.9657
_cell_length_c 6.9657
_cell_angle_alpha 90.00
_cell_angle_beta 90.00
_cell_angle_gamma 90.00
loop_
_atom_site_label
_atom_site_fract_x
_atom_site_fract_y
_atom_site_fract_z
Si1 0.0000 0.0000 0.0000
Sn1 0.2500 0.2500 0.2500
P1 0.0000 0.0000 0.5000
```

It is ii that is the least stable of them.

--- i ---
Si3SnP after structural relaxation. Source: Alexandria via LeMat-Bulk, functional PBE-GGA.

Cell and atoms, written as CIF:
```
data_Si3SnP
_space_group_name_H-M_alt 'P m -3 m'
_space_group_IT_number 221
_space_group_name_Hall '-P 4 2 3'
_cell_length_a 5.0892
_cell_length_b 5.0892
_cell_length_c 5.0892
_cell_angle_alpha 90.00
_cell_angle_beta 90.00
_cell_angle_gamma 90.00
loop_
_atom_site_label
_atom_site_fract_x
_atom_site_fract_y
_atom_site_fract_z
Si1 0.0000 0.0000 0.5000
Sn1 0.0000 0.0000 0.0000
P1 0.5000 0.5000 0.5000
```

--- ii ---
Si3SnP after structural relaxation. Source: Alexandria via LeMat-Bulk, functional PBE-GGA.

Cell and atoms, written as CIF:
```
data_Si3SnP
_space_group_name_H-M_alt 'P m -3 m'
_space_group_IT_number 221
_space_group_name_Hall '-P 4 2 3'
_cell_length_a 4.6323
_cell_length_b 4.6323
_cell_length_c 4.6323
_cell_angle_alpha 90.00
_cell_angle_beta 90.00
_cell_angle_gamma 90.00
loop_
_atom_site_label
_atom_site_fract_x
_atom_site_fract_y
_atom_site_fract_z
Si1 0.0000 0.0000 0.5000
Sn1 0.5000 0.5000 0.5000
P1 0.0000 0.0000 0.0000
```

It is i that is the least stable of them.

--- i ---
SrSi3P after structural relaxation. Source: Alexandria via LeMat-Bulk, functional PBE-GGA.

Cell and atoms, written as CIF:
```
data_SrSi3P
_space_group_name_H-M_alt 'P m -3 m'
_space_group_IT_number 221
_space_group_name_Hall '-P 4 2 3'
_cell_length_a 5.4733
_cell_length_b 5.4733
_cell_length_c 5.4733
_cell_angle_alpha 90.00
_cell_angle_beta 90.00
_cell_angle_gamma 90.00
loop_
_atom_site_label
_atom_site_fract_x
_atom_site_fract_y
_atom_site_fract_z
Sr1 0.0000 0.0000 0.0000
Si1 0.0000 0.0000 0.5000
P1 0.5000 0.5000 0.5000
```

--- ii ---
SrSi3P after structural relaxation. Source: Alexandria via LeMat-Bulk, functional PBE-GGA.

Cell and atoms, written as CIF:
```
data_SrSi3P
_space_group_name_H-M_alt 'P m -3 m'
_space_group_IT_number 221
_space_group_name_Hall '-P 4 2 3'
_cell_length_a 4.7765
_cell_length_b 4.7765
_cell_length_c 4.7765
_cell_angle_alpha 90.00
_cell_angle_beta 90.00
_cell_angle_gamma 90.00
loop_
_atom_site_label
_atom_site_fract_x
_atom_site_fract_y
_atom_site_fract_z
Sr1 0.0000 0.0000 0.0000
Si1 0.0000 0.5000 0.5000
P1 0.5000 0.5000 0.5000
```

It is i that is the least stable of them.

--- i ---
Sr2SiP after structural relaxation. Source: Alexandria via LeMat-Bulk, functional PBE-GGA.

Cell and atoms, written as CIF:
```
data_Sr2SiP
_space_group_name_H-M_alt 'F m -3 m'
_space_group_IT_number 225
_space_group_name_Hall '-F 4 2 3'
_cell_length_a 7.5510
_cell_length_b 7.5510
_cell_length_c 7.5510
_cell_angle_alpha 90.00
_cell_angle_beta 90.00
_cell_angle_gamma 90.00
loop_
_atom_site_label
_atom_site_fract_x
_atom_site_fract_y
_atom_site_fract_z
Sr1 0.2500 0.2500 0.2500
Si1 0.0000 0.0000 0.0000
P1 0.0000 0.0000 0.5000
```

--- ii ---
Sr2SiP after structural relaxation. Source: Alexandria via LeMat-Bulk, functional PBE-GGA.

Cell and atoms, written as CIF:
```
data_Sr2SiP
_space_group_name_H-M_alt 'I -4 2 d'
_space_group_IT_number 122
_space_group_name_Hall 'I -4 2bw'
_cell_length_a 8.3149
_cell_length_b 8.3149
_cell_length_c 6.8123
_cell_angle_alpha 90.00
_cell_angle_beta 90.00
_cell_angle_gamma 90.00
loop_
_atom_site_label
_atom_site_fract_x
_atom_site_fract_y
_atom_site_fract_z
Sr1 0.2272 0.2500 0.1250
Si1 0.0000 0.0000 0.5000
P1 0.0000 0.0000 0.0000
```

It is ii that is the least stable of them.

--- i ---
Sr4SiP4 after structural relaxation. Source: Alexandria via LeMat-Bulk, functional PBE-GGA.

Cell and atoms, written as CIF:
```
data_Sr4SiP4
_space_group_name_H-M_alt 'P 42/n m c'
_space_group_IT_number 137
_cell_length_a 8.7101
_cell_length_b 8.7101
_cell_length_c 6.4139
_cell_angle_alpha 90.00
_cell_angle_beta 90.00
_cell_angle_gamma 90.00
loop_
_space_group_symop_operation_xyz
'x,y,z'
'-x,-y,-z'
'-y+1/2,x,z+1/2'
'y+1/2,-x,-z+1/2'
'-x+1/2,-y+1/2,z'
'x+1/2,y+1/2,-z'
'y,-x+1/2,z+1/2'
'-y,x+1/2,-z+1/2'
'x+1/2,-y,-z'
'-x+1/2,y,z'
'-y,-x,-z+1/2'
'y,x,z+1/2'
'-x,y+1/2,-z'
'x,-y+1/2,z'
'y+1/2,x+1/2,-z+1/2'
'-y+1/2,-x+1/2,z+1/2'
loop_
_atom_site_label
_atom_site_fract_x
_atom_site_fract_y
_atom_site_fract_z
Sr1 0.0192 0.2500 0.0706
Si1 0.2500 0.7500 0.2500
P1 0.0291 0.7500 0.4472
```

--- ii ---
Sr4SiP4 after structural relaxation. Source: Alexandria via LeMat-Bulk, functional PBE-GGA.

Cell and atoms, written as CIF:
```
data_Sr4SiP4
_space_group_name_H-M_alt 'P -4 3 n'
_space_group_IT_number 218
_space_group_name_Hall 'P -4n 2 3'
_cell_length_a 12.4822
_cell_length_b 12.4822
_cell_length_c 12.4822
_cell_angle_alpha 90.00
_cell_angle_beta 90.00
_cell_angle_gamma 90.00
loop_
_atom_site_label
_atom_site_fract_x
_atom_site_fract_y
_atom_site_fract_z
Sr1 0.0946 0.1330 0.3546
Sr2 0.1457 0.1457 0.8543
Si1 0.0000 0.0000 0.0000
Si2 0.0000 0.5000 0.2500
P1 0.1042 0.3857 0.3497
P2 0.1058 0.1058 0.1058
```

It is i that is the least stable of them.